# 1
NaTl3Au8: optimized geometry, GGA-PBE.

Summary:
Fermi-level density of states: 4.31 states/eV/f.u.
energy relative to the elements: -0.0950 eV per atom

a b c (Å): 9.9309 9.9309 9.9309
angles (deg): 33.15 33.15 33.15
Fractional coordinates of all 12 atoms:
Na 0.0000 0.0000 0.0000
Tl 0.3761 0.3761 0.3761
Tl 0.4992 0.4992 0.4992
Tl 0.8761 0.8761 0.8761
Au 0.1867 0.1867 0.1867
Au 0.4340 0.9362 0.9362
Au 0.4377 0.4377 0.9401
Au 0.4377 0.9401 0.4377
Au 0.6864 0.6864 0.6864
Au 0.9362 0.4340 0.9362
Au 0.9362 0.9362 0.4340
Au 0.9401 0.4377 0.4377

# 2
Na8TlAu2: optimized geometry, GGA-PBE.

Summary:
Fermi-level density of states: 3.96 states/eV/f.u.
energy relative to the elements: -0.1600 eV per atom
excess energy over the best structure of this formula in the dataset: 0.0057 eV/atom

a b c (Å): 8.1070 8.1070 5.5756
angles (deg): 98.36 98.36 112.04
Fractional coordinates of all 11 atoms:
Na 0.0630 0.3191 0.5835
Na 0.2427 0.7573 0.0000
Na 0.3191 0.0630 0.5835
Na 0.3752 0.3752 0.1875
Na 0.6248 0.6248 0.8125
Na 0.6809 0.9370 0.4165
Na 0.7573 0.2427 0.0000
Na 0.9370 0.6809 0.4165
Tl 0.0000 0.0000 0.0000
Au 0.3201 0.6799 0.5000
Au 0.6799 0.3201 0.5000

# 3
Na4Tl3Au: optimized geometry, GGA-PBE.

Summary:
Fermi-level density of states: 3.60 states/eV/f.u.
energy relative to the elements: -0.1394 eV per atom
excess energy over the best structure of this formula in the dataset: 0.0000 eV/atom

a b c (Å): 3.5603 5.0188 12.3415
angles (deg): 90.00 90.00 90.00
Fractional coordinates of all 8 atoms:
Na 0.0000 0.0000 0.0000
Na 0.0000 0.5000 0.3004
Na 0.5000 0.0000 0.4614
Na 0.5000 0.5000 0.8170
Tl 0.0000 0.0000 0.7206
Tl 0.0000 0.5000 0.5691
Tl 0.5000 0.5000 0.0837
Au 0.5000 0.0000 0.2124

# 4
Na8TlAu2: optimized geometry, GGA-PBE.

Summary:
Fermi-level density of states: 5.34 states/eV/f.u.
energy relative to the elements: -0.1657 eV per atom
excess energy over the best structure of this formula in the dataset: 0.0000 eV/atom

a b c (Å): 8.8754 8.8754 8.8754
angles (deg): 147.01 126.55 64.27
Fractional coordinates of all 11 atoms:
Na 0.1214 0.3401 0.7813
Na 0.1568 0.1568 0.0000
Na 0.3041 0.0000 0.3041
Na 0.4412 0.6599 0.7813
Na 0.5588 0.3401 0.2187
Na 0.6958 0.0000 0.6958
Na 0.8432 0.8432 0.0000
Na 0.8786 0.6599 0.2187
Tl 0.0000 0.5000 0.5000
Au 0.3111 0.8111 0.5000
Au 0.6889 0.1889 0.5000

# 5
Na4TlAu: optimized geometry, GGA-PBE.

Summary:
Fermi-level density of states: 2.78 states/eV/f.u.
energy relative to the elements: -0.1900 eV per atom
excess energy over the best structure of this formula in the dataset: 0.0000 eV/atom

a b c (Å): 13.0140 12.2881 5.7625
angles (deg): 83.99 69.89 26.13
Fractional coordinates of all 12 atoms:
Na 0.1959 0.5265 0.4735
Na 0.2060 0.2060 0.7940
Na 0.3374 0.6626 0.3374
Na 0.4735 0.8041 0.1959
Na 0.5265 0.1959 0.8041
Na 0.6626 0.3374 0.6626
Na 0.7940 0.7940 0.2060
Na 0.8041 0.4735 0.5265
Tl 0.0676 0.0676 0.9324
Tl 0.9324 0.9324 0.0676
Au 0.2500 0.2500 0.2500
Au 0.7500 0.7500 0.7500

# 6
Na2Tl2Au3: optimized geometry, GGA-PBE.

Summary:
Fermi-level density of states: 1.90 states/eV/f.u.
energy relative to the elements: -0.2069 eV per atom

a b c (Å): 6.7968 6.7968 7.3528
angles (deg): 114.74 114.74 34.82
Fractional coordinates of all 7 atoms:
Na 0.1072 0.1072 0.2680
Na 0.8928 0.8928 0.7320
Tl 0.1819 0.1819 0.7527
Tl 0.8181 0.8181 0.2473
Au 0.4155 0.4155 0.0689
Au 0.5000 0.5000 0.5000
Au 0.5845 0.5845 0.9311

# 7
Na2TlAu9: optimized geometry, GGA-PBE.

Summary:
Fermi-level density of states: 4.66 states/eV/f.u.
energy relative to the elements: -0.1740 eV per atom

a b c (Å): 9.8582 9.8582 9.8582
angles (deg): 33.18 33.18 33.18
Fractional coordinates of all 12 atoms:
Na 0.1440 0.1440 0.1440
Na 0.8560 0.8560 0.8560
Tl 0.0000 0.0000 0.0000
Au 0.0825 0.5873 0.5873
Au 0.3324 0.3324 0.3324
Au 0.4127 0.4127 0.9175
Au 0.4127 0.9175 0.4127
Au 0.5000 0.5000 0.5000
Au 0.5873 0.0825 0.5873
Au 0.5873 0.5873 0.0825
Au 0.6676 0.6676 0.6676
Au 0.9175 0.4127 0.4127

# 8
Na6TlAu2: optimized geometry, GGA-PBE.

Summary:
Fermi-level density of states: 2.98 states/eV/f.u.
energy relative to the elements: -0.2101 eV per atom
excess energy over the best structure of this formula in the dataset: 0.0000 eV/atom

a b c (Å): 8.7372 8.7372 8.7372
angles (deg): 116.07 112.00 100.72
Fractional coordinates of all 18 atoms:
Na 0.0318 0.8348 0.1970
Na 0.2479 0.5472 0.2993
Na 0.2479 0.9486 0.7007
Na 0.2887 0.3096 0.5983
Na 0.2887 0.6904 0.9791
Na 0.3623 0.1652 0.1970
Na 0.6377 0.8348 0.8030
Na 0.7113 0.3096 0.0209
Na 0.7113 0.6904 0.4017
Na 0.7521 0.0514 0.2993
Na 0.7521 0.4528 0.7007
Na 0.9682 0.1652 0.8030
Tl 0.0000 0.5000 0.5000
Tl 0.5000 0.0000 0.5000
Au 0.0000 0.1622 0.1622
Au 0.0000 0.8378 0.8378
Au 0.3737 0.3737 0.0000
Au 0.6263 0.6263 0.0000

# 9
Na2TlAu: optimized geometry, GGA-PBE.

Summary:
Fermi-level density of states: 1.04 states/eV/f.u.
energy relative to the elements: -0.1952 eV per atom

a b c (Å): 4.6075 4.6075 4.5890
angles (deg): 90.00 90.00 90.00
Fractional coordinates of all 4 atoms:
Na 0.0000 0.5000 0.0000
Na 0.5000 0.0000 0.0000
Tl 0.0000 0.0000 0.5000
Au 0.5000 0.5000 0.5000

# 10
Na7Tl2Au2: optimized geometry, GGA-PBE.

Summary:
Fermi-level density of states: 3.13 states/eV/f.u.
energy relative to the elements: -0.1028 eV per atom
excess energy over the best structure of this formula in the dataset: 0.0389 eV/atom

a b c (Å): 7.0431 7.0431 7.1024
angles (deg): 90.00 90.00 101.87
Fractional coordinates of all 11 atoms:
Na 0.0000 0.0000 0.0000
Na 0.0000 0.5000 0.2624
Na 0.0000 0.5000 0.7376
Na 0.5000 0.0000 0.2624
Na 0.5000 0.0000 0.7376
Na 0.5000 0.5000 0.2566
Na 0.5000 0.5000 0.7434
Tl 0.1643 0.1643 0.5000
Tl 0.8357 0.8357 0.5000
Au 0.2842 0.7158 0.0000
Au 0.7158 0.2842 0.0000

# 11
Na2Tl5Au2: optimized geometry, GGA-PBE.

Summary:
Fermi-level density of states: 3.44 states/eV/f.u.
energy relative to the elements: -0.0576 eV per atom

a b c (Å): 8.9073 8.9073 9.1095
angles (deg): 118.84 118.84 23.28
Fractional coordinates of all 9 atoms:
Na 0.1396 0.1396 0.3260
Na 0.8604 0.8604 0.6740
Tl 0.1502 0.1502 0.9491
Tl 0.3302 0.3302 0.3433
Tl 0.5000 0.5000 0.0000
Tl 0.6698 0.6698 0.6567
Tl 0.8498 0.8498 0.0509
Au 0.4993 0.4993 0.3386
Au 0.5007 0.5007 0.6614

# 12
Na5Tl4Au: optimized geometry, GGA-PBE.

Summary:
Fermi-level density of states: 4.57 states/eV/f.u.
energy relative to the elements: -0.1358 eV per atom

a b c (Å): 3.6916 3.6916 19.5830
angles (deg): 90.00 90.00 90.00
Fractional coordinates of all 10 atoms:
Na 0.0000 0.0000 0.0000
Na 0.0000 0.0000 0.2112
Na 0.0000 0.0000 0.4202
Na 0.0000 0.0000 0.5798
Na 0.0000 0.0000 0.7887
Tl 0.5000 0.5000 0.1058
Tl 0.5000 0.5000 0.3186
Tl 0.5000 0.5000 0.6814
Tl 0.5000 0.5000 0.8942
Au 0.5000 0.5000 0.5000

Listing total energy for the structures above in their given order: -2.981; -1.930; -2.096; -1.936; -2.010; -2.664; -3.049; -2.081; -2.266; -1.968; -2.394; -2.070 eV per atom.